Entry 1:
An optimized crystal structure of InFe2Pb, computed with PBE.

- volume (Å³/atom) = 16.08
- DFT total energy (eV/atom) = -5.18

Cell lengths 6.3604, 6.3604, 6.3604 Å; angles 90.00, 90.00, 90.00 degrees
Space group Pm-3m (No. 221)
Asymmetric unit:
In (0.0000, 0.0000, 0.0000) (multiplicity 1)
In (0.0000, 0.0000, 0.5000) (multiplicity 3)
Fe (0.2494, 0.2494, 0.2494) (multiplicity 8)
Pb (0.0000, 0.5000, 0.5000) (multiplicity 3)
Pb (0.5000, 0.5000, 0.5000) (multiplicity 1)



Entry 2:
An optimized crystal structure of In2TcSn, computed with PBE.

- volume (Å³/atom) = 21.06
- DFT total energy (eV/atom) = -4.40

Cell lengths 6.9590, 6.9590, 6.9590 Å; angles 90.00, 90.00, 90.00 degrees
Space group F-43m (No. 216)
Asymmetric unit:
In (0.0000, 0.0000, 0.0000) (multiplicity 4)
In (0.2500, 0.2500, 0.2500) (multiplicity 4)
Tc (0.2500, 0.2500, 0.7500) (multiplicity 4)
Sn (0.0000, 0.0000, 0.5000) (multiplicity 4)



Entry 3:
An optimized crystal structure of Li4NiAgBi2, computed with PBE.

- volume (Å³/atom) = 17.54
- DFT total energy (eV/atom) = -3.34

Cell lengths 4.6167, 4.6167, 6.5834 Å; angles 90.00, 90.00, 90.00 degrees
Space group P-4m2 (No. 115)
Asymmetric unit:
Li (0.0000, 0.0000, 0.0000) (multiplicity 1)
Li (0.0000, 0.5000, 0.2388) (multiplicity 2)
Li (0.5000, 0.5000, 0.5000) (multiplicity 1)
Ni (0.5000, 0.5000, 0.0000) (multiplicity 1)
Ag (0.0000, 0.0000, 0.5000) (multiplicity 1)
Bi (0.0000, 0.5000, 0.7745) (multiplicity 2)



Entry 4:
An optimized crystal structure of Cd2Br, computed with PBE.

- E above lowest polymorph (meV/atom) = 0
- volume (Å³/atom) = 26.26
- DFT total energy (eV/atom) = -1.40

Cell lengths 3.8302, 3.8302, 18.5986 Å; angles 90.00, 90.00, 120.00 degrees
Space group R-3m (No. 166, hexagonal axes)
Asymmetric unit:
Cd (0.0000, 0.0000, 0.2187) (multiplicity 6)
Br (0.0000, 0.0000, 0.0000) (multiplicity 3)



Entry 5:
An optimized crystal structure of ErLu2In3CuAg2, computed with PBE.

- volume (Å³/atom) = 21.93
- DFT total energy (eV/atom) = -3.88

Cell lengths 3.8048, 13.4195, 7.7325 Å; angles 90.00, 90.00, 90.00 degrees
Space group Amm2 (No. 38)
Asymmetric unit:
Er (0.0000, 0.0000, 0.0000) (multiplicity 2)
Lu (0.0000, 0.1994, 0.5995) (multiplicity 4)
In (0.5000, 0.0000, 0.6545) (multiplicity 2)
In (0.5000, 0.1271, 0.2734) (multiplicity 4)
Cu (0.0000, 0.0000, 0.4009) (multiplicity 2)
Ag (0.5000, 0.1681, 0.8997) (multiplicity 4)



Entry 6:
An optimized crystal structure of LiSi4Ni6, computed with PBE.

- volume (Å³/atom) = 11.59
- DFT total energy (eV/atom) = -5.68

Cell lengths 4.8719, 4.8719, 18.6136 Å; angles 90.00, 90.00, 120.00 degrees
Space group R-3m (No. 166, hexagonal axes)
Asymmetric unit:
Li (0.0000, 0.0000, 0.0000) (multiplicity 3)
Si (0.0000, 0.0000, 0.1322) (multiplicity 6)
Si (0.0000, 0.0000, 0.3315) (multiplicity 6)
Ni (0.0035, 0.5017, 0.1009) (multiplicity 18)



Entry 7:
An optimized crystal structure of Nd2ScNO2, computed with PBE.

- volume (Å³/atom) = 14.36
- DFT total energy (eV/atom) = -8.05

Cell lengths 3.4229, 3.4229, 8.4893 Å; angles 90.00, 90.00, 120.00 degrees
Space group P-3m1 (No. 164)
Asymmetric unit:
Nd (0.3333, 0.6667, 0.3298) (multiplicity 2)
Sc (0.0000, 0.0000, 0.0000) (multiplicity 1)
N (0.0000, 0.0000, 0.5000) (multiplicity 1)
O (0.3333, 0.6667, 0.8738) (multiplicity 2)



Entry 8:
An optimized crystal structure of Pt3SeO5, computed with PBE.

- volume (Å³/atom) = 14.44
- DFT total energy (eV/atom) = -5.27

Cell lengths 9.4089, 11.8662, 4.6575 Å; angles 90.00, 90.00, 90.00 degrees
Space group Cmc2_1 (No. 36)
Asymmetric unit:
Pt (0.0000, 0.0358, 0.0000) (multiplicity 4)
Pt (0.1933, 0.1946, 0.3988) (multiplicity 8)
Se (0.0000, 0.4045, 0.6244) (multiplicity 4)
O (0.0000, 0.2717, 0.4387) (multiplicity 4)
O (0.1297, 0.3947, 0.8844) (multiplicity 8)
O (0.1468, 0.0719, 0.7032) (multiplicity 8)



Entry 9:
An optimized crystal structure of ZnPOsO, computed with PBE.

- E above lowest polymorph (meV/atom) = 0
- volume (Å³/atom) = 16.43
- DFT total energy (eV/atom) = -6.27

Cell lengths 3.8900, 3.8900, 8.6836 Å; angles 90.00, 90.00, 90.00 degrees
Space group P4/nmm (No. 129, origin choice 2)
Asymmetric unit:
Zn (0.2500, 0.2500, 0.0664) (multiplicity 2)
P (0.2500, 0.2500, 0.3488) (multiplicity 2)
Os (0.2500, 0.7500, 0.5000) (multiplicity 2)
O (0.2500, 0.7500, 0.0000) (multiplicity 2)



Entry 10:
An optimized crystal structure of NaSmO3, computed with PBE.

- volume (Å³/atom) = 15.46
- DFT total energy (eV/atom) = -5.89

Cell lengths 5.9212, 5.9212, 15.2735 Å; angles 90.00, 90.00, 120.00 degrees
Space group R-3 (No. 148, hexagonal axes)
Asymmetric unit:
Na (0.0000, 0.0000, 0.1395) (multiplicity 6)
Sm (0.0000, 0.0000, 0.3613) (multiplicity 6)
O (0.0053, 0.2801, 0.2546) (multiplicity 18)



Entry 11:
An optimized crystal structure of Sc2CuB, computed with PBE.

- volume (Å³/atom) = 14.69
- DFT total energy (eV/atom) = -5.26

Cell lengths 6.1708, 6.1708, 6.1708 Å; angles 90.00, 90.00, 90.00 degrees
Space group F-43m (No. 216)
Asymmetric unit:
Sc (0.0000, 0.0000, 0.0000) (multiplicity 4)
Sc (0.2500, 0.2500, 0.2500) (multiplicity 4)
Cu (0.2500, 0.2500, 0.7500) (multiplicity 4)
B (0.0000, 0.0000, 0.5000) (multiplicity 4)



Entry 12:
An optimized crystal structure of CuReNiSn, computed with PBE.

- E above lowest polymorph (meV/atom) = 22
- volume (Å³/atom) = 14.42
- DFT total energy (eV/atom) = -5.97

Cell lengths 6.1338, 6.1338, 6.1338 Å; angles 90.00, 90.00, 90.00 degrees
Space group F-43m (No. 216)
Asymmetric unit:
Cu (0.0000, 0.0000, 0.0000) (multiplicity 4)
Re (0.2500, 0.2500, 0.2500) (multiplicity 4)
Ni (0.0000, 0.0000, 0.5000) (multiplicity 4)
Sn (0.2500, 0.2500, 0.7500) (multiplicity 4)



Entry 13:
An optimized crystal structure of MgCdTeO, computed with PBE.

- E above lowest polymorph (meV/atom) = 274
- volume (Å³/atom) = 20.98
- DFT total energy (eV/atom) = -3.68

Cell lengths 6.3424, 3.7658, 14.0547 Å; angles 90.00, 90.00, 90.00 degrees
Space group Pnma (No. 62)
Asymmetric unit:
Mg (0.2441, 0.2500, 0.0933) (multiplicity 4)
Cd (0.0991, 0.7500, 0.2898) (multiplicity 4)
Te (0.2209, 0.7500, 0.9178) (multiplicity 4)
O (0.2303, 0.2500, 0.6538) (multiplicity 4)



Entry 14:
An optimized crystal structure of Li4ZnAg2Sb, computed with PBE.

- volume (Å³/atom) = 16.46
- DFT total energy (eV/atom) = -2.68

Cell lengths 4.4782, 4.4782, 6.5660 Å; angles 90.00, 90.00, 90.00 degrees
Space group P-4m2 (No. 115)
Asymmetric unit:
Li (0.0000, 0.0000, 0.0000) (multiplicity 1)
Li (0.0000, 0.5000, 0.2328) (multiplicity 2)
Li (0.5000, 0.5000, 0.5000) (multiplicity 1)
Zn (0.5000, 0.5000, 0.0000) (multiplicity 1)
Ag (0.0000, 0.5000, 0.7717) (multiplicity 2)
Sb (0.0000, 0.0000, 0.5000) (multiplicity 1)



Entry 15:
An optimized crystal structure of NaLaCdS3, computed with PBE.

- E above lowest polymorph (meV/atom) = 52
- volume (Å³/atom) = 26.17
- DFT total energy (eV/atom) = -4.59

Cell lengths 7.7064, 4.1795, 9.9755 Å; angles 90.00, 102.17, 90.00 degrees
Space group P2_1/m (No. 11)
Asymmetric unit:
Na (0.2400, 0.2500, 0.2445) (multiplicity 2)
La (0.2115, 0.7500, 0.6244) (multiplicity 2)
Cd (0.4176, 0.2500, 0.8931) (multiplicity 2)
S (0.0342, 0.7500, 0.3470) (multiplicity 2)
S (0.2538, 0.7500, 0.9467) (multiplicity 2)
S (0.4743, 0.2500, 0.6543) (multiplicity 2)



Entry 16:
An optimized crystal structure of BeInCoAg, computed with PBE.

- E above lowest polymorph (meV/atom) = 0
- volume (Å³/atom) = 14.51
- DFT total energy (eV/atom) = -3.81

Cell lengths 6.1459, 6.1459, 6.1459 Å; angles 90.00, 90.00, 90.00 degrees
Space group F-43m (No. 216)
Asymmetric unit:
Be (0.0000, 0.0000, 0.0000) (multiplicity 4)
In (0.0000, 0.0000, 0.5000) (multiplicity 4)
Co (0.2500, 0.2500, 0.7500) (multiplicity 4)
Ag (0.2500, 0.2500, 0.2500) (multiplicity 4)



Entry 17:
An optimized crystal structure of DyNi8N2, computed with PBE.

- volume (Å³/atom) = 10.96
- DFT total energy (eV/atom) = -6.09

Cell lengths 10.5012, 3.6458, 7.8166 Å; angles 90.00, 126.35, 90.00 degrees
Space group C2/m (No. 12)
Asymmetric unit:
Dy (0.0000, 0.0000, 0.0000) (multiplicity 2)
Ni (0.0183, 0.0000, 0.3592) (multiplicity 4)
Ni (0.1493, 0.5000, 0.6642) (multiplicity 4)
Ni (0.1871, 0.5000, 0.3649) (multiplicity 4)
Ni (0.2219, 0.5000, 0.0724) (multiplicity 4)
N (0.0349, 0.5000, 0.7886) (multiplicity 4)



Entry 18:
An optimized crystal structure of RbPrCdSe3, computed with PBE.

- E above lowest polymorph (meV/atom) = 20
- volume (Å³/atom) = 33.51
- DFT total energy (eV/atom) = -4.18

Cell lengths 8.8188, 4.3801, 10.9970 Å; angles 90.00, 108.79, 90.00 degrees
Space group P2_1/m (No. 11)
Asymmetric unit:
Rb (0.2384, 0.2500, 0.2184) (multiplicity 2)
Pr (0.1892, 0.7500, 0.6318) (multiplicity 2)
Cd (0.4176, 0.2500, 0.8905) (multiplicity 2)
Se (0.0368, 0.7500, 0.3551) (multiplicity 2)
Se (0.2660, 0.7500, 0.9418) (multiplicity 2)
Se (0.4308, 0.2500, 0.6555) (multiplicity 2)



Entry 19:
An optimized crystal structure of Y3ThSb4, computed with PBE.

- volume (Å³/atom) = 30.55
- DFT total energy (eV/atom) = -6.52

Cell lengths 8.8304, 12.4997, 4.4288 Å; angles 90.00, 90.00, 90.00 degrees
Space group Cmmm (No. 65)
Asymmetric unit:
Y (0.0000, 0.0000, 0.0000) (multiplicity 2)
Y (0.2500, 0.2500, 0.5000) (multiplicity 4)
Th (0.0000, 0.5000, 0.0000) (multiplicity 2)
Sb (0.0000, 0.2476, 0.0000) (multiplicity 4)
Sb (0.2444, 0.0000, 0.5000) (multiplicity 4)



Entry 20:
An optimized crystal structure of HfBPtAu, computed with PBE.

- E above lowest polymorph (meV/atom) = 116
- volume (Å³/atom) = 15.89
- DFT total energy (eV/atom) = -6.32

Cell lengths 6.3356, 6.3356, 6.3356 Å; angles 90.00, 90.00, 90.00 degrees
Space group F-43m (No. 216)
Asymmetric unit:
Hf (0.0000, 0.0000, 0.0000) (multiplicity 4)
B (0.0000, 0.0000, 0.5000) (multiplicity 4)
Pt (0.2500, 0.2500, 0.7500) (multiplicity 4)
Au (0.2500, 0.2500, 0.2500) (multiplicity 4)



Entry 21:
An optimized crystal structure of Zr2ScN3, computed with PBE.

- E above lowest polymorph (meV/atom) = 11
- volume (Å³/atom) = 11.90
- DFT total energy (eV/atom) = -9.85

Cell lengths 3.2291, 3.2291, 7.9096 Å; angles 90.00, 90.00, 120.00 degrees
Space group P-3m1 (No. 164)
Asymmetric unit:
Zr (0.3333, 0.6667, 0.3324) (multiplicity 2)
Sc (0.0000, 0.0000, 0.0000) (multiplicity 1)
N (0.0000, 0.0000, 0.5000) (multiplicity 1)
N (0.3333, 0.6667, 0.8362) (multiplicity 2)



Entry 22:
An optimized crystal structure of LuCo2Bi, computed with PBE.

- volume (Å³/atom) = 18.21
- DFT total energy (eV/atom) = -5.40

Cell lengths 6.6299, 6.6299, 6.6299 Å; angles 90.00, 90.00, 90.00 degrees
Space group F-43m (No. 216)
Asymmetric unit:
Lu (0.0000, 0.0000, 0.0000) (multiplicity 4)
Co (0.0000, 0.0000, 0.5000) (multiplicity 4)
Co (0.2500, 0.2500, 0.2500) (multiplicity 4)
Bi (0.2500, 0.2500, 0.7500) (multiplicity 4)



Entry 23:
An optimized crystal structure of TaOs2W2, computed with PBE.

- E above lowest polymorph (meV/atom) = 0
- volume (Å³/atom) = 17.96
- ΔH_f (0 K) (eV/atom) = 0.4781
- DFT total energy (eV/atom) = -11.57

Cell lengths 4.0527, 4.0527, 10.9337 Å; angles 90.00, 90.00, 90.00 degrees
Space group I4/mmm (No. 139)
Asymmetric unit:
Ta (0.0000, 0.0000, 0.0000) (multiplicity 2)
Os (0.0000, 0.0000, 0.3908) (multiplicity 4)
W (0.0000, 0.5000, 0.2500) (multiplicity 4)



Entry 24:
An optimized crystal structure of NaLaNiGe, computed with PBE.

- E above lowest polymorph (meV/atom) = 0
- volume (Å³/atom) = 19.37
- DFT total energy (eV/atom) = -4.34

Cell lengths 6.7673, 6.7673, 6.7673 Å; angles 90.00, 90.00, 90.00 degrees
Space group F-43m (No. 216)
Asymmetric unit:
Na (0.0000, 0.0000, 0.0000) (multiplicity 4)
La (0.2500, 0.2500, 0.7500) (multiplicity 4)
Ni (0.0000, 0.0000, 0.5000) (multiplicity 4)
Ge (0.2500, 0.2500, 0.2500) (multiplicity 4)



Entry 25:
An optimized crystal structure of HfInFeNi, computed with PBE.

- E above lowest polymorph (meV/atom) = 336
- volume (Å³/atom) = 16.27
- DFT total energy (eV/atom) = -6.52

Cell lengths 6.3851, 6.3851, 6.3851 Å; angles 90.00, 90.00, 90.00 degrees
Space group F-43m (No. 216)
Asymmetric unit:
Hf (0.0000, 0.0000, 0.0000) (multiplicity 4)
In (0.2500, 0.2500, 0.2500) (multiplicity 4)
Fe (0.0000, 0.0000, 0.5000) (multiplicity 4)
Ni (0.2500, 0.2500, 0.7500) (multiplicity 4)